# 1
AcLa2I | PBE | relaxed

Results
ΔE to the lowest computed polymorph, meV per atom: 196
Uncorrected formation energy, eV/atom: -0.25
DOS at the Fermi energy, states/eV per atom: 1.79

Cell and atoms, written as CIF:
```
data_AcLa2I
_chemical_formula_sum 'Ac3 La6 I3'
_cell_length_a 3.7904
_cell_length_b 3.7904
_cell_length_c 37.2792
_cell_angle_alpha 90.00
_cell_angle_beta 90.00
_cell_angle_gamma 120.00
_space_group_name_H-M_alt 'R -3 m'
_space_group_IT_number 166
_space_group_name_Hall '-R 3 2"'
loop_
_atom_site_label
_atom_site_fract_x
_atom_site_fract_y
_atom_site_fract_z
_atom_site_occupancy
Ac1 0.0000 0.0000 0.0000 1
La1 0.0000 0.0000 0.0977 1
I1 0.0000 0.0000 0.5000 1
```

# 2
Li2GaSn4 | PBE | relaxed

Results
E_form, eV/atom: -0.060
DOS at the Fermi energy, states/eV per atom: 0.41

Cell and atoms, written as CIF:
```
data_Li2GaSn4
_chemical_formula_sum 'Li8 Ga4 Sn16'
_cell_length_a 12.256
_cell_length_b 6.290
_cell_length_c 9.273
_cell_angle_alpha 90.00
_cell_angle_beta 90.00
_cell_angle_gamma 90.00
_space_group_name_H-M_alt 'C m c e'
_space_group_IT_number 64
_space_group_name_Hall '-C 2ac 2'
loop_
_atom_site_label
_atom_site_fract_x
_atom_site_fract_y
_atom_site_fract_z
_atom_site_occupancy
Li1 0.136 0.000 0.000 1
Ga1 0.000 0.000 0.500 1
Sn1 0.000 0.250 0.250 1
Sn2 0.250 0.249 0.250 1
```

# 3
LiMg2As | PBE | relaxed

Results
E_form, eV/atom: -0.281
DOS at the Fermi energy, states/eV per atom: 0.16

Cell and atoms, written as CIF:
```
data_LiMg2As
_chemical_formula_sum 'Li1 Mg2 As1'
_cell_length_a 3.625
_cell_length_b 3.696
_cell_length_c 5.831
_cell_angle_alpha 90.00
_cell_angle_beta 90.00
_cell_angle_gamma 90.00
_space_group_name_H-M_alt 'P m m m'
_space_group_IT_number 47
_space_group_name_Hall '-P 2 2'
loop_
_atom_site_label
_atom_site_fract_x
_atom_site_fract_y
_atom_site_fract_z
_atom_site_occupancy
Li1 0.000 0.000 0.000 1
Mg1 0.500 0.500 0.261 1
As1 0.000 0.000 0.500 1
```

# 4
Ba2Cd12In5 | PBE | relaxed

Results
E_form, eV/atom: -0.159
DOS at the Fermi energy, states/eV per atom: 0.48

Cell and atoms, written as CIF:
```
data_Ba2Cd12In5
_chemical_formula_sum 'Ba6 Cd36 In15'
_cell_length_a 10.7265
_cell_length_b 10.7265
_cell_length_c 15.0286
_cell_angle_alpha 90.00
_cell_angle_beta 90.00
_cell_angle_gamma 120.00
_space_group_name_H-M_alt 'R -3 m'
_space_group_IT_number 166
_space_group_name_Hall '-R 3 2"'
loop_
_atom_site_label
_atom_site_fract_x
_atom_site_fract_y
_atom_site_fract_z
_atom_site_occupancy
Ba1 0.0000 0.0000 0.1670 1
Cd1 0.0000 0.3080 0.5000 1
Cd2 0.0157 0.5079 0.6555 1
In1 0.0000 0.0000 0.4010 1
In2 0.0000 0.5000 0.0000 1
```

# 5
AcNd2Y2 | PBE | relaxed

Results
ΔE to the lowest computed polymorph, meV per atom: 274
E_form, eV/atom: 0.402
DOS at the Fermi energy, states/eV per atom: 1.92

Cell and atoms, written as CIF:
```
data_AcNd2Y2
_chemical_formula_sum 'Ac8 Nd16 Y16'
_cell_length_a 3.632
_cell_length_b 17.709
_cell_length_c 23.787
_cell_angle_alpha 90.00
_cell_angle_beta 90.00
_cell_angle_gamma 90.00
_space_group_name_H-M_alt 'F d d d'
_space_group_IT_number 70
loop_
_space_group_symop_operation_xyz
'x,y,z'
'-x,-y,-z'
'-x+1/4,-y+1/4,z'
'x+1/4,y+1/4,-z'
'x,-y+1/4,-z+1/4'
'-x,y+1/4,z+1/4'
'-x+1/4,y,-z+1/4'
'x+1/4,-y,z+1/4'
'x,y+1/2,z+1/2'
'-x,-y+1/2,-z+1/2'
'-x+1/4,-y+3/4,z+1/2'
'x+1/4,y+3/4,-z+1/2'
'x,-y+3/4,-z+3/4'
'-x,y+3/4,z+3/4'
'-x+1/4,y+1/2,-z+3/4'
'x+1/4,-y+1/2,z+3/4'
'x+1/2,y,z+1/2'
'-x+1/2,-y,-z+1/2'
'-x+3/4,-y+1/4,z+1/2'
'x+3/4,y+1/4,-z+1/2'
'x+1/2,-y+1/4,-z+3/4'
'-x+1/2,y+1/4,z+3/4'
'-x+3/4,y,-z+3/4'
'x+3/4,-y,z+3/4'
'x+1/2,y+1/2,z'
'-x+1/2,-y+1/2,-z'
'-x+3/4,-y+3/4,z'
'x+3/4,y+3/4,-z'
'x+1/2,-y+3/4,-z+1/4'
'-x+1/2,y+3/4,z+1/4'
'-x+3/4,y+1/2,-z+1/4'
'x+3/4,-y+1/2,z+1/4'
loop_
_atom_site_label
_atom_site_fract_x
_atom_site_fract_y
_atom_site_fract_z
_atom_site_occupancy
Ac1 0.125 0.125 0.125 1
Nd1 0.125 0.297 0.625 1
Y1 0.000 0.000 0.000 1
```

# 6
NaBi12Pt7 | PBE | relaxed

Results
E_form, eV/atom: -0.119
DOS at the Fermi energy, states/eV per atom: 0.43

Cell and atoms, written as CIF:
```
data_NaBi12Pt7
_chemical_formula_sum 'Na3 Bi36 Pt21'
_cell_length_a 13.1701
_cell_length_b 13.1701
_cell_length_c 11.1678
_cell_angle_alpha 90.00
_cell_angle_beta 90.00
_cell_angle_gamma 120.00
_space_group_name_H-M_alt 'R -3'
_space_group_IT_number 148
_space_group_name_Hall '-R 3'
loop_
_atom_site_label
_atom_site_fract_x
_atom_site_fract_y
_atom_site_fract_z
_atom_site_occupancy
Na1 0.0000 0.0000 0.0000 1
Bi1 0.0422 0.5314 0.7130 1
Bi2 0.0644 0.1767 0.3283 1
Pt1 0.0000 0.0000 0.5000 1
Pt2 0.0742 0.2146 0.8157 1
```

# 7
Re2OsBr | PBE | relaxed

Results
ΔE to the lowest computed polymorph, meV per atom: 290
Uncorrected formation energy, eV/atom: 1.00
DOS at the Fermi energy, states/eV per atom: 0.72

Cell and atoms, written as CIF:
```
data_Re2OsBr
_chemical_formula_sum 'Re4 Os2 Br2'
_cell_length_a 9.987
_cell_length_b 2.924
_cell_length_c 4.450
_cell_angle_alpha 90.00
_cell_angle_beta 92.96
_cell_angle_gamma 90.00
_space_group_name_H-M_alt 'C 1 2/m 1'
_space_group_IT_number 12
_space_group_name_Hall '-C 2y'
loop_
_atom_site_label
_atom_site_fract_x
_atom_site_fract_y
_atom_site_fract_z
_atom_site_occupancy
Re1 0.216 0.000 0.219 1
Os1 0.000 0.500 0.000 1
Br1 0.000 0.000 0.500 1
```

# 8
LiTiGa2Mo | PBE | relaxed

Results
E_form, eV/atom: 1.182
DOS at the Fermi energy, states/eV per atom: 0.68

Cell and atoms, written as CIF:
```
data_LiTiGa2Mo
_chemical_formula_sum 'Li1 Ti1 Ga2 Mo1'
_cell_length_a 4.750
_cell_length_b 4.750
_cell_length_c 4.334
_cell_angle_alpha 90.00
_cell_angle_beta 90.00
_cell_angle_gamma 90.00
_space_group_name_H-M_alt 'P 4/m m m'
_space_group_IT_number 123
_space_group_name_Hall '-P 4 2'
loop_
_atom_site_label
_atom_site_fract_x
_atom_site_fract_y
_atom_site_fract_z
_atom_site_occupancy
Li1 0.000 0.000 0.000 1
Ti1 0.000 0.000 0.500 1
Ga1 0.000 0.500 0.500 1
Mo1 0.500 0.500 0.000 1
```

# 9
Sc2HS | PBE | relaxed

Results
ΔE to the lowest computed polymorph, meV per atom: 262
DOS at the Fermi energy, states/eV per atom: 1.05

Cell and atoms, written as CIF:
```
data_Sc2HS
_chemical_formula_sum 'Sc6 H3 S3'
_cell_length_a 3.6221
_cell_length_b 3.6221
_cell_length_c 19.5964
_cell_angle_alpha 90.00
_cell_angle_beta 90.00
_cell_angle_gamma 120.00
_space_group_name_H-M_alt 'R -3 m'
_space_group_IT_number 166
_space_group_name_Hall '-R 3 2"'
loop_
_atom_site_label
_atom_site_fract_x
_atom_site_fract_y
_atom_site_fract_z
_atom_site_occupancy
Sc1 0.0000 0.0000 0.0925 1
H1 0.0000 0.0000 0.0000 1
S1 0.0000 0.0000 0.5000 1
```

# 10
MgCu2Si | PBE | relaxed

Results
Uncorrected formation energy, eV/atom: 0.06
DOS at the Fermi energy, states/eV per atom: 0.26

Cell and atoms, written as CIF:
```
data_MgCu2Si
_chemical_formula_sum 'Mg3 Cu6 Si3'
_cell_length_a 2.8126
_cell_length_b 2.8126
_cell_length_c 25.0891
_cell_angle_alpha 90.00
_cell_angle_beta 90.00
_cell_angle_gamma 120.00
_space_group_name_H-M_alt 'R -3 m'
_space_group_IT_number 166
_space_group_name_Hall '-R 3 2"'
loop_
_atom_site_label
_atom_site_fract_x
_atom_site_fract_y
_atom_site_fract_z
_atom_site_occupancy
Mg1 0.0000 0.0000 0.0000 1
Cu1 0.0000 0.0000 0.2430 1
Si1 0.0000 0.0000 0.5000 1
```

# 11
Zr3ReGe | PBE | relaxed

Results
E_form, eV/atom: 0.828
DOS at the Fermi energy, states/eV per atom: 1.08

Cell and atoms, written as CIF:
```
data_Zr3ReGe
_chemical_formula_sum 'Zr3 Re1 Ge1'
_cell_length_a 4.904
_cell_length_b 4.904
_cell_length_c 4.904
_cell_angle_alpha 90.00
_cell_angle_beta 90.00
_cell_angle_gamma 90.00
_space_group_name_H-M_alt 'P m -3 m'
_space_group_IT_number 221
_space_group_name_Hall '-P 4 2 3'
loop_
_atom_site_label
_atom_site_fract_x
_atom_site_fract_y
_atom_site_fract_z
_atom_site_occupancy
Zr1 0.000 0.000 0.500 1
Re1 0.500 0.500 0.500 1
Ge1 0.000 0.000 0.000 1
```

# 12
AlReSe2 | PBE | relaxed

Results
Uncorrected formation energy, eV/atom: 0.25
DOS at the Fermi energy, states/eV per atom: 0.57

Cell and atoms, written as CIF:
```
data_AlReSe2
_chemical_formula_sum 'Al2 Re2 Se4'
_cell_length_a 3.103
_cell_length_b 5.155
_cell_length_c 9.700
_cell_angle_alpha 90.00
_cell_angle_beta 90.00
_cell_angle_gamma 90.00
_space_group_name_H-M_alt 'C m m 2'
_space_group_IT_number 35
_space_group_name_Hall 'C 2 -2'
loop_
_atom_site_label
_atom_site_fract_x
_atom_site_fract_y
_atom_site_fract_z
_atom_site_occupancy
Al1 0.000 0.000 0.000 1
Re1 0.000 0.500 0.215 1
Se1 0.000 0.000 0.417 1
Se2 0.000 0.500 0.793 1
```

> Among the records above, which one has the lowest DOS at the Fermi energy?

LiMg2As

> The highest DOS at the Fermi energy belongs to which entry?

AcNd2Y2

Please write out number 12 again, unchanged.
AlReSe2 | PBE | relaxed

Results
Uncorrected formation energy, eV/atom: 0.25
DOS at the Fermi energy, states/eV per atom: 0.57

Cell and atoms, written as CIF:
```
data_AlReSe2
_chemical_formula_sum 'Al2 Re2 Se4'
_cell_length_a 3.103
_cell_length_b 5.155
_cell_length_c 9.700
_cell_angle_alpha 90.00
_cell_angle_beta 90.00
_cell_angle_gamma 90.00
_space_group_name_H-M_alt 'C m m 2'
_space_group_IT_number 35
_space_group_name_Hall 'C 2 -2'
loop_
_atom_site_label
_atom_site_fract_x
_atom_site_fract_y
_atom_site_fract_z
_atom_site_occupancy
Al1 0.000 0.000 0.000 1
Re1 0.000 0.500 0.215 1
Se1 0.000 0.000 0.417 1
Se2 0.000 0.500 0.793 1
```